{
  "formula": "Pm2NbMoN5",
  "functional": "PBE-GGA",
  "state": "relaxed",
  "n_ef_per_ev_atom": 0.342,
  "total_magnetization_mub_per_cell": 0.00,
  "raw_formation_energy_ev_per_atom": -1.042,
  "cell": [[1.678, -6.729, 0.000], [1.678, 6.729, 0.000], [0.000, 0.000, 10.473]],
  "species": ["Pm", "Pm", "Pm", "Pm", "Nb", "Nb", "Mo", "Mo", "N", "N", "N", "N", "N", "N", "N", "N", "N", "N"],
  "fractional_positions": [[0.110, 0.890, 0.500], [0.145, 0.855, 0.103], [0.855, 0.145, 0.603], [0.890, 0.110, 0.000], [0.221, 0.779, 0.820], [0.779, 0.221, 0.320], [0.472, 0.528, 0.269], [0.528, 0.472, 0.769], [0.047, 0.953, 0.859], [0.282, 0.718, 0.454], [0.319, 0.681, 0.188], [0.368, 0.632, 0.809], [0.490, 0.510, 0.595], [0.510, 0.490, 0.095], [0.632, 0.368, 0.309], [0.681, 0.319, 0.688], [0.718, 0.282, 0.954], [0.953, 0.047, 0.359]]
}